[1]
## LiMn2Sb (SCAN)

Data for a crystal of LiMn2Sb relaxed with PBEsol.

calculated total energy: -19.264 eV per atom
ΔE_f (raw): -224 meV/atom

Structure (CIF):
```
data_LiMn2Sb
_chemical_formula_sum 'Li4 Mn8 Sb4'
_space_group_name_H-M_alt 'F -4 3 m'
_space_group_IT_number 216
_space_group_name_Hall 'F -4 2 3'
_cell_length_a 6.007
_cell_length_b 6.007
_cell_length_c 6.007
_cell_angle_alpha 90.00
_cell_angle_beta 90.00
_cell_angle_gamma 90.00
loop_
_atom_site_label
_atom_site_fract_x
_atom_site_fract_y
_atom_site_fract_z
Li1 0.000 0.000 0.000
Mn1 0.000 0.000 0.500
Mn2 0.250 0.250 0.250
Sb1 0.250 0.250 0.750
```

[2]
## LiMn2Sb (SCAN)

Data for a crystal of LiMn2Sb relaxed with PBEsol.

calculated total energy: -19.194 eV per atom
ΔE_f (raw): -154 meV/atom

Structure (CIF):
```
data_LiMn2Sb
_chemical_formula_sum 'Li1 Mn2 Sb1'
_space_group_name_H-M_alt 'P 4/m m m'
_space_group_IT_number 123
_space_group_name_Hall '-P 4 2'
_cell_length_a 3.837
_cell_length_b 3.837
_cell_length_c 3.909
_cell_angle_alpha 90.00
_cell_angle_beta 90.00
_cell_angle_gamma 90.00
loop_
_atom_site_label
_atom_site_fract_x
_atom_site_fract_y
_atom_site_fract_z
Li1 0.000 0.000 0.000
Mn1 0.000 0.500 0.500
Sb1 0.500 0.500 0.000
```

[3]
## LiMn2Sb (SCAN)

Data for a crystal of LiMn2Sb relaxed with PBEsol.

calculated total energy: -19.143 eV per atom
ΔE_f (raw): -103 meV/atom

Structure (CIF):
```
data_LiMn2Sb
_chemical_formula_sum 'Li2 Mn4 Sb2'
_space_group_name_H-M_alt 'I -4 m 2'
_space_group_IT_number 119
_space_group_name_Hall 'I -4 -2'
_cell_length_a 3.842
_cell_length_b 3.842
_cell_length_c 7.785
_cell_angle_alpha 90.00
_cell_angle_beta 90.00
_cell_angle_gamma 90.00
loop_
_atom_site_label
_atom_site_fract_x
_atom_site_fract_y
_atom_site_fract_z
Li1 0.000 0.000 0.000
Mn1 0.000 0.000 0.500
Mn2 0.000 0.500 0.750
Sb1 0.000 0.500 0.250
```

Which of these has the highest ΔE_f (raw)? number 3

Among the records above, which one has the lowest calculated total energy? number 1

What did the first record say?
## LiMn2Sb (SCAN)

Data for a crystal of LiMn2Sb relaxed with PBEsol.

calculated total energy: -19.264 eV per atom
ΔE_f (raw): -224 meV/atom

Structure (CIF):
```
data_LiMn2Sb
_chemical_formula_sum 'Li4 Mn8 Sb4'
_space_group_name_H-M_alt 'F -4 3 m'
_space_group_IT_number 216
_space_group_name_Hall 'F -4 2 3'
_cell_length_a 6.007
_cell_length_b 6.007
_cell_length_c 6.007
_cell_angle_alpha 90.00
_cell_angle_beta 90.00
_cell_angle_gamma 90.00
loop_
_atom_site_label
_atom_site_fract_x
_atom_site_fract_y
_atom_site_fract_z
Li1 0.000 0.000 0.000
Mn1 0.000 0.000 0.500
Mn2 0.250 0.250 0.250
Sb1 0.250 0.250 0.750
```